Record 1
# NiRh4

A crystal of NiRh4 relaxed with PBEsol (SCAN, Alexandria).

```
data_NiRh4
_space_group_name_H-M_alt 'R -3 m'
_space_group_IT_number 166
_space_group_name_Hall '-R 3 2"'
_cell_length_a 2.6526
_cell_length_b 2.6526
_cell_length_c 31.9275
_cell_angle_alpha 90.00
_cell_angle_beta 90.00
_cell_angle_gamma 120.00
loop_
_atom_site_label
_atom_site_fract_x
_atom_site_fract_y
_atom_site_fract_z
_atom_site_occupancy
Ni1 0.0000 0.0000 0.0000 1
Rh1 0.0000 0.0000 0.2009 1
Rh2 0.0000 0.0000 0.3973 1
```

ρ: 12.0 Mg/m³
Total moment: 0.9 μB per formula unit
Calculated formation energy: 0.0245 eV per atom

=====

Record 2
# Ni2Rh3

A crystal of Ni2Rh3 relaxed with PBEsol (SCAN, Alexandria).

```
data_Ni2Rh3
_space_group_name_H-M_alt 'C 1 2/m 1'
_space_group_IT_number 12
_cell_length_a 8.121
_cell_length_b 3.659
_cell_length_c 5.755
_cell_angle_alpha 90.00
_cell_angle_beta 133.94
_cell_angle_gamma 90.00
loop_
_space_group_symop_operation_xyz
'x,y,z'
'-x,-y,-z'
'-x,y,-z'
'x,-y,z'
'x+1/2,y+1/2,z'
'-x+1/2,-y+1/2,-z'
'-x+1/2,y+1/2,-z'
'x+1/2,-y+1/2,z'
loop_
_atom_site_label
_atom_site_fract_x
_atom_site_fract_y
_atom_site_fract_z
_atom_site_occupancy
Ni1 0.101 0.000 0.299 1
Rh1 0.000 0.500 0.500 1
Rh2 0.199 0.500 0.104 1
```

ρ: 11.5 Mg/m³
Total moment: 2.9 μB per formula unit
Calculated formation energy: 0.0394 eV per atom

=====

Record 3
# Ni2Rh

A crystal of Ni2Rh relaxed with PBEsol (SCAN, Alexandria).

```
data_Ni2Rh
_space_group_name_H-M_alt 'P m m m'
_space_group_IT_number 47
_cell_length_a 2.572
_cell_length_b 3.518
_cell_length_c 7.643
_cell_angle_alpha 90.00
_cell_angle_beta 90.00
_cell_angle_gamma 90.00
loop_
_space_group_symop_operation_xyz
'x,y,z'
'-x,-y,-z'
'-x,-y,z'
'x,y,-z'
'x,-y,-z'
'-x,y,z'
'-x,y,-z'
'x,-y,z'
loop_
_atom_site_label
_atom_site_fract_x
_atom_site_fract_y
_atom_site_fract_z
_atom_site_occupancy
Ni1 0.000 0.000 0.000 1
Ni2 0.000 0.000 0.341 1
Ni3 0.500 0.500 0.500 1
Rh1 0.500 0.500 0.172 1
```

ρ: 10.6 Mg/m³
Total moment: 2.6 μB per formula unit
Calculated formation energy: 0.0341 eV per atom

=====

Record 4
# Ni2Rh

A crystal of Ni2Rh relaxed with PBEsol (SCAN, Alexandria).

```
data_Ni2Rh
_space_group_name_H-M_alt 'P 1 21/m 1'
_space_group_IT_number 11
_cell_length_a 4.356
_cell_length_b 2.572
_cell_length_c 6.202
_cell_angle_alpha 90.00
_cell_angle_beta 90.59
_cell_angle_gamma 90.00
loop_
_space_group_symop_operation_xyz
'x,y,z'
'-x,-y,-z'
'-x,y+1/2,-z'
'x,-y+1/2,z'
loop_
_atom_site_label
_atom_site_fract_x
_atom_site_fract_y
_atom_site_fract_z
_atom_site_occupancy
Ni1 0.082 0.250 0.168 1
Ni2 0.244 0.750 0.494 1
Rh1 0.413 0.250 0.827 1
```

ρ: 10.5 Mg/m³
Total moment: 2.3 μB per formula unit
Calculated formation energy: 0.0243 eV per atom

=====

Record 5
# NiRh5

A crystal of NiRh5 relaxed with PBEsol (SCAN, Alexandria).

```
data_NiRh5
_space_group_name_H-M_alt 'P 1 2/m 1'
_space_group_IT_number 10
_cell_length_a 4.565
_cell_length_b 2.659
_cell_length_c 6.454
_cell_angle_alpha 90.00
_cell_angle_beta 90.38
_cell_angle_gamma 90.00
loop_
_space_group_symop_operation_xyz
'x,y,z'
'-x,-y,-z'
'-x,y,-z'
'x,-y,z'
loop_
_atom_site_label
_atom_site_fract_x
_atom_site_fract_y
_atom_site_fract_z
_atom_site_occupancy
Ni1 0.000 0.000 0.000 1
Rh1 0.163 0.500 0.326 1
Rh2 0.333 0.000 0.666 1
Rh3 0.500 0.500 0.000 1
```

ρ: 12.1 Mg/m³
Total moment: 2.2 μB per formula unit
Calculated formation energy: 0.0317 eV per atom

=====

Record 6
# Ni2Rh

A crystal of Ni2Rh relaxed with PBEsol (SCAN, Alexandria).

```
data_Ni2Rh
_space_group_name_H-M_alt 'C 1 m 1'
_space_group_IT_number 8
_cell_length_a 9.317
_cell_length_b 2.584
_cell_length_c 6.011
_cell_angle_alpha 90.00
_cell_angle_beta 104.77
_cell_angle_gamma 90.00
loop_
_space_group_symop_operation_xyz
'x,y,z'
'x,-y,z'
'x+1/2,y+1/2,z'
'x+1/2,-y+1/2,z'
loop_
_atom_site_label
_atom_site_fract_x
_atom_site_fract_y
_atom_site_fract_z
_atom_site_occupancy
Ni1 0.000 0.000 0.000 1
Ni2 0.056 0.000 0.613 1
Ni3 0.168 0.500 0.344 1
Ni4 0.337 0.000 0.671 1
Rh1 0.220 0.500 0.940 1
Rh2 0.391 0.000 0.284 1
```

ρ: 10.5 Mg/m³
Total moment: 2.5 μB per formula unit
Calculated formation energy: 0.0584 eV per atom

=====

Record 7
# NiRh

A crystal of NiRh relaxed with PBEsol (SCAN, Alexandria).

```
data_NiRh
_space_group_name_H-M_alt 'P 4/n m m'
_space_group_IT_number 129
_cell_length_a 2.628
_cell_length_b 2.628
_cell_length_c 6.965
_cell_angle_alpha 90.00
_cell_angle_beta 90.00
_cell_angle_gamma 90.00
loop_
_space_group_symop_operation_xyz
'x,y,z'
'-x,-y,-z'
'-y+1/2,x,z'
'y+1/2,-x,-z'
'-x+1/2,-y+1/2,z'
'x+1/2,y+1/2,-z'
'y,-x+1/2,z'
'-y,x+1/2,-z'
'x+1/2,-y,-z'
'-x+1/2,y,z'
'-y,-x,-z'
'y,x,z'
'-x,y+1/2,-z'
'x,-y+1/2,z'
'y+1/2,x+1/2,-z'
'-y+1/2,-x+1/2,z'
loop_
_atom_site_label
_atom_site_fract_x
_atom_site_fract_y
_atom_site_fract_z
_atom_site_occupancy
Ni1 0.250 0.250 0.114 1
Rh1 0.250 0.250 0.635 1
```

ρ: 11.2 Mg/m³
Total moment: 1.3 μB per formula unit
Calculated formation energy: 0.0607 eV per atom

=====

Record 8
# NiRh

A crystal of NiRh relaxed with PBEsol (SCAN, Alexandria).

```
data_NiRh
_space_group_name_H-M_alt 'I 41/a m d'
_space_group_IT_number 141
_cell_length_a 3.598
_cell_length_b 3.598
_cell_length_c 7.397
_cell_angle_alpha 90.00
_cell_angle_beta 90.00
_cell_angle_gamma 90.00
loop_
_space_group_symop_operation_xyz
'x,y,z'
'-x,-y,-z'
'-y+1/4,x+3/4,z+1/4'
'y+1/4,-x+3/4,-z+1/4'
'-x+1/2,-y,z+1/2'
'x+1/2,y,-z+1/2'
'y+1/4,-x+1/4,z+3/4'
'-y+1/4,x+1/4,-z+3/4'
'x,-y,-z'
'-x,y,z'
'-y+1/4,-x+1/4,-z+3/4'
'y+1/4,x+1/4,z+3/4'
'-x+1/2,y,-z+1/2'
'x+1/2,-y,z+1/2'
'y+1/4,x+3/4,-z+1/4'
'-y+1/4,-x+3/4,z+1/4'
'x+1/2,y+1/2,z+1/2'
'-x+1/2,-y+1/2,-z+1/2'
'-y+3/4,x+1/4,z+3/4'
'y+3/4,-x+1/4,-z+3/4'
'-x,-y+1/2,z'
'x,y+1/2,-z'
'y+3/4,-x+3/4,z+1/4'
'-y+3/4,x+3/4,-z+1/4'
'x+1/2,-y+1/2,-z+1/2'
'-x+1/2,y+1/2,z+1/2'
'-y+3/4,-x+3/4,-z+1/4'
'y+3/4,x+3/4,z+1/4'
'-x,y+1/2,-z'
'x,-y+1/2,z'
'y+3/4,x+1/4,-z+3/4'
'-y+3/4,-x+1/4,z+3/4'
loop_
_atom_site_label
_atom_site_fract_x
_atom_site_fract_y
_atom_site_fract_z
_atom_site_occupancy
Ni1 0.000 0.250 0.375 1
Rh1 0.000 0.250 0.875 1
```

ρ: 11.2 Mg/m³
Total moment: 0.0 μB per formula unit
Calculated formation energy: 0.0516 eV per atom

=====

What is the total moment in the third record?
2.6 μB per formula unit